! LiTeMoO6 GGA+U optimized geometry; values from VASP
&SYSTEM
  ibrav = 0, nat = 18, ntyp = 4
/
ATOMIC_SPECIES
Li 6.94 Li.upf
Te 127.60 Te.upf
Mo 95.94 Mo.upf
O 16.00 O.upf
CELL_PARAMETERS angstrom
5.290 0.000 0.000
-2.645 4.581 0.000
0.000 0.000 9.704
ATOMIC_POSITIONS angstrom
Li 0.000 0.000 0.000
Li 0.000 0.000 4.852
Te 0.000 3.054 2.426
Te 2.645 1.527 7.278
Mo 0.000 3.054 7.278
Mo 2.645 1.527 2.426
O -0.967 1.738 1.341
O -1.623 2.874 3.511
O 0.967 1.738 3.511
O -0.656 4.549 1.341
O 1.989 0.031 6.193
O 1.022 1.707 8.363
O 1.623 2.874 1.341
O 0.656 4.549 3.511
O 3.301 0.031 8.363
O 1.678 2.843 6.193
O 4.268 1.707 6.193
O 3.612 2.843 8.363
! E (eV for the cell shown): -108.59
! Space group: P-31c, No. 163
! Calculated density (g/cm3): 4.6